[1]
A geometry-optimized TbPaCdGa structure. Source: the Alexandria database, functional PBE-GGA.

Structure (extended XYZ):
```
4
Lattice="0.000 3.662 3.662 3.662 0.000 3.662 3.662 3.662 0.000" Properties=species:S:1:pos:R:3 pbc="T T T"
Tb 0.000 0.000 0.000
Pa 3.662 3.662 3.662
Cd 1.831 1.831 1.831
Ga 5.494 5.494 5.494
```

Results
Uncorrected energy in eV/atom: -4.60
Space group: F-43m
Total magnetic moment in μB/atom: 0.236


[2]
A geometry-optimized MgCu2Se2 structure. Source: the Alexandria database, functional PBE-GGA.

Structure (extended XYZ):
```
10
Lattice="1.992 1.150 13.449 -1.992 1.150 13.449 0.000 -2.300 13.449" Properties=species:S:1:pos:R:3 pbc="T T T"
Mg 0.000 0.000 10.087
Mg 0.000 0.000 30.260
Cu 0.000 0.000 7.375
Cu 0.000 0.000 12.798
Cu 0.000 0.000 27.549
Cu 0.000 0.000 32.971
Se 0.000 0.000 4.924
Se 0.000 0.000 15.249
Se 0.000 0.000 25.097
Se 0.000 0.000 35.423
```

Results
Excess energy over the best structure of this formula in the dataset in kJ/mol of atoms: 0.0
Uncorrected energy in eV/atom: -3.86
Space group: R-3c
Total magnetic moment in μB/atom: 0.000
E_form (uncorrected) in meV/atom: -509


[3]
A geometry-optimized TiZn4Co structure. Source: the Alexandria database, functional PBE-GGA.

Structure (extended XYZ):
```
12
Lattice="6.377 -3.157 0.000 6.377 3.157 0.000 -1.844 0.000 4.496" Properties=species:S:1:pos:R:3 pbc="T T T"
Ti 2.279 0.000 0.934
Ti 8.631 0.000 3.562
Zn 4.141 1.810 1.711
Zn 6.377 1.982 0.000
Zn 2.575 0.000 3.684
Zn 6.769 1.810 2.785
Zn 4.141 -1.810 1.711
Zn 8.335 0.000 0.811
Zn 6.377 -1.982 0.000
Zn 6.769 -1.810 2.785
Co 5.875 0.000 1.213
Co 5.035 0.000 3.282
```

Results
Excess energy over the best structure of this formula in the dataset in kJ/mol of atoms: 7.9
Uncorrected energy in eV/atom: -3.27
Space group: C2/m
Total magnetic moment in μB/atom: 0.403


[4]
A geometry-optimized BeOs4 structure. Source: the Alexandria database, functional PBE-GGA.

Structure (extended XYZ):
```
5
Lattice="-3.007 3.007 1.882 3.007 -3.007 1.882 3.007 3.007 -1.882" Properties=species:S:1:pos:R:3 pbc="T T T"
Be 0.000 0.000 0.000
Os 2.434 1.230 0.000
Os 1.776 -0.573 1.882
Os 1.230 3.580 0.000
Os 0.573 1.776 1.882
```

Results
Excess energy over the best structure of this formula in the dataset in kJ/mol of atoms: 0.0
Uncorrected energy in eV/atom: -9.50
Space group: I4/m
Total magnetic moment in μB/atom: 0.000


> What is the total magnetic moment in the second record?

0.000 μB/atom


> Which formula does entry 2 have?

MgCu2Se2